The following is a DFT calculation (GGA-PBE) of a relaxed Pm6Ga2Cu crystal.

Mass density (g/cm3): 6.57
ΔE_f (meV per atom): -126
M_tot (μB/f.u.): 0.0

```
data_Pm6Ga2Cu
_cell_length_a 15.8083
_cell_length_b 7.1883
_cell_length_c 5.0364
_cell_angle_alpha 90.00
_cell_angle_beta 108.50
_cell_angle_gamma 90.00
_space_group_name_H-M_alt 'C 1 2/m 1'
_space_group_IT_number 12
loop_
_space_group_symop_operation_xyz
'x,y,z'
'-x,-y,-z'
'-x,y,-z'
'x,-y,z'
'x+1/2,y+1/2,z'
'-x+1/2,-y+1/2,-z'
'-x+1/2,y+1/2,-z'
'x+1/2,-y+1/2,z'
loop_
_atom_site_label
_atom_site_fract_x
_atom_site_fract_y
_atom_site_fract_z
_atom_site_occupancy
Pm1 0.0000 0.2426 0.0000 1
Pm2 0.1632 0.2469 0.6634 1
Ga1 0.1669 0.5000 0.1671 1
Cu1 0.0000 0.0000 0.5000 1
```

The following is a DFT calculation (GGA-PBE) of a relaxed PmGaCu crystal.

Mass density (g/cm3): 6.94
Distance to the lowest polymorph of the same formula (kJ per mole of atoms): 15.7
ΔE_f (meV per atom): -326
M_tot (μB/f.u.): 0.0

```
data_PmGaCu
_cell_length_a 6.4326
_cell_length_b 6.4326
_cell_length_c 6.4326
_cell_angle_alpha 90.00
_cell_angle_beta 90.00
_cell_angle_gamma 90.00
_space_group_name_H-M_alt 'F -4 3 m'
_space_group_IT_number 216
_space_group_name_Hall 'F -4 2 3'
loop_
_atom_site_label
_atom_site_fract_x
_atom_site_fract_y
_atom_site_fract_z
_atom_site_occupancy
Pm1 0.0000 0.0000 0.0000 1
Ga1 0.0000 0.0000 0.5000 1
Cu1 0.2500 0.2500 0.7500 1
```